Entry 1:
Tm3Co3Si8 PBE relaxed; N(E_F) = 7.84 states/eV/cell; raw formation energy = -0.528 eV/atom; space group = Immm (71); magnetization = 0.605 μB/f.u.; electronic total energy = -85.5 eV per cell
1.0
4.0267 0.0000 0.0000
2.0133 7.2873 -0.3551
2.0133 1.6423 7.1086
Si Tm Co
8 3 3
Direct
0.8360 0.7969 0.5312
0.6175 0.6755 0.0895
0.8360 0.5312 0.7969
0.3825 0.9105 0.3245
0.1640 0.4688 0.2031
0.1640 0.2031 0.4688
0.6175 0.0895 0.6755
0.3825 0.3245 0.9105
0.5000 0.5000 0.5000
0.1819 0.8181 0.8181
0.8181 0.1819 0.1819
0.0000 0.2254 0.7746
0.0000 0.7746 0.2254
0.5000 0.0000 0.0000

---

Entry 2:
CoSiW2 PBE relaxed; N(E_F) = 5.90 states/eV/cell; raw formation energy = 0.505 eV/atom; space group = I-42d (122); magnetization = 0.000 μB/f.u.; electronic total energy = -72.8 eV per cell
1.0
-1.0926 -2.7821 -5.9907
0.1101 -6.0790 2.8030
-3.1076 -4.2884 -1.1827
Si W Co
2 4 2
Direct
0.2500 0.7500 0.5000
0.5000 0.5000 0.0000
0.8750 0.8858 0.7500
0.6358 0.1250 0.2500
0.1142 0.6250 0.2500
0.3750 0.3642 0.7500
0.0000 0.0000 0.0000
0.7500 0.2500 0.5000

---

Entry 3:
Li2ScAg2 PBE relaxed; N(E_F) = 1.86 states/eV/cell; formation energy = -0.1175 eV/atom; space group = I4/mmm (139); magnetization = 0.000 μB/f.u.; electronic total energy = -16.4 eV per cell
1.0
-0.4873 0.0700 -3.6542
-2.4138 -2.7744 0.2688
-6.5460 3.1553 -0.9269
Li Sc Ag
2 1 2
Direct
0.2500 0.7500 0.5000
0.7500 0.2500 0.5000
0.0000 0.0000 0.0000
0.6028 0.6028 0.7944
0.3972 0.3972 0.2056